DFT (GGA+U) results for a relaxed CuNiIO2 crystal.

Values from the calculation:
energy: -17.13 eV per cell
density: 4.955 g cm⁻³
relative energy among the computed polymorphs: 0.000 eV per atom

```
CuNiIO2
1.0
3.7141 0.0000 0.0000
0.0000 3.7141 0.0000
0.0000 0.0000 6.8295
Cu O Ni I
1 2 1 1
Cartesian
1.8570 1.8570 3.4148
0.0000 1.8570 0.0000
1.8570 0.0000 0.0000
0.0000 0.0000 0.0000
0.0000 0.0000 3.4148
```